## In2GaAg7Sb2 (PBE-GGA)

Data for a geometry-optimized In2GaAg7Sb2 structure.

Calculated values
Formation energy from raw total energies, eV per atom: 0.0825

Unit cell a=5.6825 b=5.6833 c=15.9876 alpha=90.00 beta=99.90 gamma=90.00
Space group C2/m (No. 12)
Asymmetric unit:
In  0.1385  0.0000  0.2758 (multiplicity 4)
Ga  0.0000  0.5000  0.0000 (multiplicity 2)
Ag  0.0000  0.0000  0.0000 (multiplicity 2)
Ag  0.1833  0.2498  0.8635 (multiplicity 8)
Ag  0.2283  0.0000  0.4572 (multiplicity 4)
Sb  0.1842  0.5000  0.3655 (multiplicity 4)